(1)
Entry from Alexandria via LeMat-Bulk: RbPuCuO4 after structural relaxation (GGA-PBE).

Unit cell a=6.0954 b=7.2758 c=6.8285 alpha=117.99 beta=90.00 gamma=114.76
Element x y z (fractional)
Rb  0.8194  0.6389  0.0694
Rb  0.1806  0.3611  0.9306
Pu  0.5000  0.0000  0.5000
Pu  0.5000  0.0000  0.0000
Cu  0.5000  0.5000  0.5000
Cu  0.0000  0.5000  0.5000
O  0.6829  0.3659  0.6198
O  0.2777  0.9702  0.2351
O  0.6925  0.9702  0.2351
O  0.6829  0.3659  0.2461
O  0.3171  0.6341  0.7539
O  0.7223  0.0298  0.7649
O  0.3075  0.0298  0.7649
O  0.3171  0.6341  0.3802

Uncorrected formation energy   -1.8070 eV per atom

=====

(2)
Entry from Alexandria via LeMat-Bulk: PuCuReO6 after structural relaxation (GGA-PBE).

Unit cell a=5.3872 b=5.3872 c=8.9323 alpha=90.00 beta=90.00 gamma=120.00
Element x y z (fractional)
Pu  0.3333  0.6667  0.2500
Pu  0.6667  0.3333  0.7500
Cu  0.0000  0.0000  0.0000
Cu  0.0000  0.0000  0.5000
Re  0.6667  0.3333  0.2500
Re  0.3333  0.6667  0.7500
O  0.6675  0.6339  0.1302
O  0.9664  0.3325  0.1302
O  0.3325  0.9664  0.6302
O  0.0336  0.6675  0.8698
O  0.3661  0.3325  0.3698
O  0.9664  0.6339  0.3698
O  0.6339  0.9664  0.8698
O  0.6675  0.0336  0.3698
O  0.0336  0.3661  0.6302
O  0.3661  0.0336  0.1302
O  0.6339  0.6675  0.6302
O  0.3325  0.3661  0.8698

Uncorrected formation energy   -1.7277 eV per atom

=====

(3)
Entry from Alexandria via LeMat-Bulk: PuCuRhO5 after structural relaxation (GGA-PBE).

Unit cell a=5.7242 b=5.7242 c=8.4359 alpha=105.10 beta=105.10 gamma=110.19
Element x y z (fractional)
Pu  0.0000  0.0000  0.5000
Pu  0.0000  0.0000  0.0000
Cu  0.7085  0.2915  0.2500
Cu  0.2915  0.7085  0.7500
Rh  0.2933  0.7067  0.2500
Rh  0.7067  0.2933  0.7500
O  0.0856  0.9144  0.2500
O  0.9144  0.0856  0.7500
O  0.9781  0.3640  0.1525
O  0.0219  0.6360  0.8475
O  0.6360  0.0219  0.3475
O  0.3640  0.9781  0.6525
O  0.7616  0.6329  0.4259
O  0.2384  0.3671  0.5741
O  0.3671  0.2384  0.0741
O  0.6329  0.7616  0.9259

Uncorrected formation energy   -1.3749 eV per atom

=====

(4)
Entry from Alexandria via LeMat-Bulk: PuCu2RuO6 after structural relaxation (GGA-PBE).

Unit cell a=5.2825 b=5.2788 c=5.7632 alpha=90.00 beta=117.30 gamma=120.02
Element x y z (fractional)
Pu  0.9965  0.9978  0.9802
Cu  0.4952  0.7468  0.2277
Cu  0.4981  0.2489  0.7330
Ru  0.9965  0.4978  0.4802
O  0.4759  0.8724  0.7199
O  0.5171  0.1231  0.2405
O  0.8620  0.7374  0.2406
O  0.1314  0.3930  0.2408
O  0.8617  0.6025  0.7197
O  0.1311  0.2580  0.7198

Uncorrected formation energy   -1.3619 eV per atom

=====

(5)
Entry from Alexandria via LeMat-Bulk: PuCu2RuO8 after structural relaxation (GGA-PBE).

Unit cell a=5.7499 b=5.7499 c=5.7499 alpha=112.71 beta=112.71 gamma=103.17
Element x y z (fractional)
Pu  0.2500  0.7500  0.5000
Cu  0.7500  0.2500  0.5000
Cu  0.5000  0.5000  0.0000
Ru  0.0000  0.0000  0.0000
O  0.3487  0.0639  0.2848
O  0.2916  0.4869  0.1953
O  0.2916  0.0962  0.8047
O  0.7791  0.0639  0.7152
O  0.9038  0.7084  0.1953
O  0.9361  0.2209  0.2848
O  0.9361  0.6513  0.7152
O  0.5131  0.7084  0.8047

Uncorrected formation energy   -1.0171 eV per atom

=====

(6)
Entry from Alexandria via LeMat-Bulk: PuCuSbO6 after structural relaxation (GGA-PBE).

Unit cell a=5.4226 b=5.4226 c=9.0725 alpha=90.00 beta=90.00 gamma=120.00
Element x y z (fractional)
Pu  0.6667  0.3333  0.2500
Pu  0.3333  0.6667  0.7500
Cu  0.0000  0.0000  0.0000
Cu  0.0000  0.0000  0.5000
Sb  0.3333  0.6667  0.2500
Sb  0.6667  0.3333  0.7500
O  0.6486  0.6616  0.1301
O  0.0130  0.3514  0.1301
O  0.3514  0.0130  0.6301
O  0.9870  0.6486  0.8699
O  0.3384  0.3514  0.3699
O  0.0130  0.6616  0.3699
O  0.6616  0.0130  0.8699
O  0.6486  0.9870  0.3699
O  0.9870  0.3384  0.6301
O  0.3384  0.9870  0.1301
O  0.6616  0.6486  0.6301
O  0.3514  0.3384  0.8699

Uncorrected formation energy   -1.5398 eV per atom